Computed, not measured: a relaxed structure of SbMoIr at the PBE level of DFT.

Cell lengths 4.965, 4.965, 4.965 Å; angles 145.27, 131.69, 60.86 degrees
Atoms (fractional coordinates):
Sb 0.000 0.000 0.000
Mo 0.323 0.323 0.000
Ir 0.675 0.675 0.000

Calculated values
Uncorrected energy   -0.564 Ry per atom
N(E_F)   2.10 states/eV per cell
Uncorrected formation energy   0.266 eV/atom
Symmetry   Imm2 (44)